(1)
LaZnSO2 after structural relaxation. Source: Alexandria via LeMat-Bulk, functional GGA-PBE.

```
LaZnSO2
1.0
4.1660 0.0000 0.0000
0.0000 9.3554 0.0000
0.0000 0.0000 4.1660
Zn S O La
1 1 2 1
Direct
0.0000 0.5000 0.0000 Zn
0.5000 0.5000 0.5000 S
0.0000 0.0000 0.5000 O
0.5000 0.0000 0.0000 O
0.0000 0.0000 0.0000 La
```

Results
- Symmetry: P4/mmm (123)
- Formation energy (no corrections): -4.45 eV per formula unit

(2)
LaZnS2O8 after structural relaxation. Source: Alexandria via LeMat-Bulk, functional GGA-PBE.

```
LaZnS2O8
1.0
5.2535 0.0000 0.0000
-2.6268 4.5497 0.0000
0.0000 0.0000 7.8307
La Zn S O
1 1 2 8
Direct
0.0000 0.0000 0.5000 La
0.0000 0.0000 0.0000 Zn
0.3333 0.6667 0.6909 S
0.6667 0.3333 0.3091 S
0.1779 0.3558 0.7506 O
0.1779 0.8221 0.7506 O
0.6442 0.8221 0.7506 O
0.3558 0.1779 0.2494 O
0.6667 0.3333 0.5013 O
0.3333 0.6667 0.4987 O
0.8221 0.6442 0.2494 O
0.8221 0.1779 0.2494 O
```

Results
- Symmetry: P-3m1 (164)
- Formation energy (no corrections): -20.49 eV per formula unit

(3)
LaZrS2O after structural relaxation. Source: Alexandria via LeMat-Bulk, functional GGA-PBE.

```
LaZrS2O
1.0
-3.1890 -1.9355 -0.9876
2.0678 -3.2420 -0.3234
-2.3337 -2.7845 12.9919
La Zr S O
2 2 4 2
Direct
0.5000 0.0000 0.5981 La
0.0000 0.5000 0.4019 La
0.5000 0.0000 0.1017 Zr
0.0000 0.5000 0.8983 Zr
0.0000 0.5000 0.7178 S
0.0000 0.5000 0.0992 S
0.5000 0.0000 0.9008 S
0.5000 0.0000 0.2822 S
0.0000 0.0000 0.5000 O
0.5000 0.5000 0.5000 O
```

Results
- Symmetry: P4/nmm (129)
- Formation energy (no corrections): -11.33 eV per formula unit

(4)
La2SbO6 after structural relaxation. Source: Alexandria via LeMat-Bulk, functional GGA-PBE.

```
La2SbO6
1.0
6.2613 0.0000 0.0000
0.0000 5.7982 -0.0534
0.0000 4.9167 8.0185
Sb O La
2 12 4
Direct
0.0000 0.5000 0.0000 Sb
0.5000 0.5000 0.5000 Sb
0.0772 0.5660 0.7777 O
0.2668 0.2711 0.0883 O
0.3434 0.8365 0.4466 O
0.8434 0.1635 0.0534 O
0.7668 0.7289 0.4117 O
0.5772 0.4340 0.7223 O
0.4228 0.5660 0.2777 O
0.2332 0.2711 0.5883 O
0.1566 0.8365 0.9466 O
0.6566 0.1635 0.5534 O
0.7332 0.7289 0.9117 O
0.9228 0.4340 0.2223 O
0.5796 0.2013 0.2583 La
0.0796 0.7987 0.2417 La
0.9204 0.2013 0.7583 La
0.4204 0.7987 0.7417 La
```

Results
- Symmetry: P2_1/c (14)
- Formation energy (no corrections): -21.92 eV per formula unit
- Distance to the lowest polymorph of the same formula: 0.0000 eV per atom

| no. | E_tot (eV/atom) |
| --- | --- |
| 1 | -4.940 |
| 2 | -6.218 |
| 3 | -7.603 |
| 4 | -7.294 |